(1)
The following is a DFT calculation (PBE) of an optimized crystal structure of UTiBe4.

SG: F-43m, No. 216
Final energy: -0.408 Ry per atom
Total moment: 1.78 μB/f.u.
DOS at the Fermi energy: 7.73 states/eV/f.u.

Lattice parameters (Å, degrees): 4.7306 4.7306 4.7306 60.00 60.00 60.00
Each line ends with the local moment (μB).
Atoms (fractional coordinates):
Be (0.1219, 0.6260, 0.6260)  0.00
Be (0.6260, 0.6260, 0.6260)  0.00
Be (0.6260, 0.1219, 0.6260)  0.00
Be (0.6260, 0.6260, 0.1219)  0.00
U (0.2500, 0.2500, 0.2500)  1.56
Ti (0.0000, 0.0000, 0.0000)  0.10


(2)
The following is a DFT calculation (PBE) of an optimized crystal structure of UTi2Be.

Polymorph energy (0 for the lowest one): 0.0000 eV per atom
SG: P4/mmm, No. 123
Final energy: -0.561 Ry per atom
Total moment: 0.00 μB/f.u.
DOS at the Fermi energy: 7.98 states/eV/f.u.

Lattice parameters (Å, degrees): 2.8039 2.8039 8.0362 90.00 90.00 90.00
Atoms (fractional coordinates):
Ti (0.0000, 0.0000, 0.2036)
Ti (0.0000, 0.0000, 0.7964)
U (0.5000, 0.5000, 0.5000)
Be (0.5000, 0.5000, 0.0000)


Question: What is the final energy in the second record?
Answer: -0.561 Ry per atom